Record 1
Tm4ScNi4 | PBE-GGA | relaxed

a = 8.2254 Å, b = 8.2254 Å, c = 5.5413 Å
α = 90.00°, β = 90.00°, γ = 90.00°
With the nearest neighbours (Å) after each atom.
Element x y z (fractional)
Tm: 0.0551 0.6738 0.1403  5 Ni 2.66-2.97
Tm: 0.1738 0.9449 0.6403  5 Ni 2.66-2.97
Tm: 0.3262 0.5551 0.6403  5 Ni 2.66-2.97
Tm: 0.4449 0.8262 0.1403  5 Ni 2.66-2.97
Tm: 0.5551 0.1738 0.8597  5 Ni 2.66-2.97
Tm: 0.6738 0.4449 0.3597  5 Ni 2.66-2.97
Tm: 0.8262 0.0551 0.3597  5 Ni 2.66-2.97
Tm: 0.9449 0.3262 0.8597  5 Ni 2.66-2.97
Sc: 0.2500 0.2500 0.2500  4 Ni 2.48
Sc: 0.7500 0.7500 0.7500  4 Ni 2.48
Ni: 0.0105 0.6229 0.6267  1 Ni 2.47, 1 Sc 2.48, 2 Tm 2.66-2.75
Ni: 0.1229 0.9895 0.1267  1 Ni 2.47, 1 Sc 2.48, 2 Tm 2.66-2.75
Ni: 0.3771 0.5105 0.1267  1 Ni 2.47, 1 Sc 2.48, 2 Tm 2.66-2.75
Ni: 0.4895 0.8771 0.6267  1 Ni 2.47, 1 Sc 2.48, 2 Tm 2.66-2.75
Ni: 0.5105 0.1229 0.3733  1 Ni 2.47, 1 Sc 2.48, 2 Tm 2.66-2.75
Ni: 0.6229 0.4895 0.8733  1 Ni 2.47, 1 Sc 2.48, 2 Tm 2.66-2.75
Ni: 0.8771 0.0105 0.8733  1 Ni 2.47, 1 Sc 2.48, 2 Tm 2.66-2.75
Ni: 0.9895 0.3771 0.3733  1 Ni 2.47, 1 Sc 2.48, 2 Tm 2.66-2.75

Calculated values
total moment = 0.00 μB per formula unit
ρ = 8464 kg/m3
VASP energy = -5.57 eV/atom



Record 2
K2NiBr | PBE-GGA | relaxed

a = 5.4379 Å, b = 6.6127 Å, c = 6.6127 Å
α = 36.31°, β = 90.00°, γ = 90.00°
With the nearest neighbours (Å) after each atom.
Element x y z (fractional)
K: 0.0000 0.0000 0.0000  3 Ni 3.35-3.59, 4 Br 3.41
K: 0.5000 0.2417 0.2417  3 Br 3.39-3.55, 4 Ni 3.41
Ni: 0.0000 0.7336 0.7336  7 K 3.35-3.59
Br: 0.5000 0.5115 0.5115  7 K 3.39-3.55

Calculated values
formation energy without anion corrections = -0.2145 eV per atom
total moment = 1.00 μB per formula unit
ρ = 2557 kg/m3
energy above the lowest structure with this stoichiometry = 1.19 kcal/mol of atoms



Record 3
Er2MgOs | PBE-GGA | relaxed

a = 3.4115 Å, b = 3.4115 Å, c = 8.0852 Å
α = 90.00°, β = 90.00°, γ = 90.00°
With the nearest neighbours (Å) after each atom.
Element x y z (fractional)
Er: 0.0000 0.0000 0.2017  4 Os 2.91
Er: 0.0000 0.0000 0.7983  4 Os 2.91
Mg: 0.5000 0.5000 0.5000  8 Er 3.41, 4 Mg 3.41
Os: 0.5000 0.5000 0.0000  8 Er 2.91

Calculated values
total moment = 0.00 μB per formula unit
ρ = 9689 kg/m3
VASP energy = -5.73 eV/atom